Density functional theory data (PBE) for a geometry-optimized Na2LaNb structure.

```
4
Lattice="-0.8582 -5.2723 -0.3380 1.0204 -3.1524 4.2034 -4.0374 -2.2335 2.7127" Properties=species:S:1:pos:R:3 pbc="T T T"
La -1.9376 -5.3291 3.2891
Na -0.9688 -2.6645 1.6445
Na -2.9064 -7.9936 4.9336
Nb 0.0000 0.0000 0.0000
```

Results
Fermi-level density of states	1.508	states/eV per atom
calculated formation energy	0.985	eV/atom